Entry 1:
Material: Pm2Sm3Cd
Method: DFT, PBE
State: relaxed

Output
* total magnetic moment: 0.00 μB/atom
* distance to the lowest polymorph of the same formula: 0 meV/atom
* crystal system: tetragonal
* total energy: -25.15 eV for the cell shown
* volume: 31.972 Å³/atom

Unit cell a=3.655 b=3.655 c=14.359 alpha=90.00 beta=90.00 gamma=90.00
Space group P4/mmm (No. 123)
Asymmetric unit:
1 Pm 0.000 0.000 0.179 (multiplicity 2)
2 Sm 0.500 0.500 0.000 (multiplicity 1)
3 Sm 0.500 0.500 0.355 (multiplicity 2)
4 Cd 0.000 0.000 0.500 (multiplicity 1)



Entry 2:
Material: Pm5Sm2Cd
Method: DFT, PBE
State: relaxed

Output
* total magnetic moment: 0.00 μB/atom
* crystal system: monoclinic
* total energy: -68.41 eV for the cell shown
* volume: 33.049 Å³/atom

Unit cell a=5.182 b=17.678 c=6.326 alpha=90.00 beta=114.14 gamma=90.00
Space group P2_1/m (No. 11)
Asymmetric unit:
1 Pm 0.035 0.250 0.072 (multiplicity 2)
2 Pm 0.256 0.652 0.512 (multiplicity 4)
3 Pm 0.448 0.095 0.897 (multiplicity 4)
4 Sm 0.148 0.039 0.295 (multiplicity 4)
5 Cd 0.319 0.250 0.639 (multiplicity 2)



Entry 3:
Material: Pm5SmCd6
Method: DFT, PBE
State: relaxed

Output
* total magnetic moment: 0.21 μB/atom
* crystal system: monoclinic
* total energy: -37.79 eV for the cell shown
* volume: 28.058 Å³/atom

Unit cell a=5.395 b=7.709 c=8.530 alpha=90.00 beta=108.36 gamma=90.00
Space group P2/m (No. 10)
Asymmetric unit:
1 Pm 0.000 0.000 0.000 (multiplicity 1)
2 Pm 0.333 0.000 0.666 (multiplicity 2)
3 Pm 0.333 0.500 0.667 (multiplicity 2)
4 Sm 0.000 0.500 0.000 (multiplicity 1)
5 Cd 0.166 0.251 0.332 (multiplicity 4)
6 Cd 0.500 0.251 0.000 (multiplicity 2)



Entry 4:
Material: Pm5SmCd3
Method: DFT, PBE
State: relaxed

Output
* total magnetic moment: 0.00 μB/atom
* crystal system: hexagonal
* total energy: -65.51 eV for the cell shown
* volume: 30.159 Å³/atom

Unit cell a=9.4186 b=9.4186 c=7.0662 alpha=90.00 beta=90.00 gamma=120.00
Space group P6_3/mcm (No. 193)
Asymmetric unit:
1 Pm 0.0000 0.3338 0.2500 (multiplicity 6)
2 Pm 0.3333 0.6667 0.0000 (multiplicity 4)
3 Sm 0.0000 0.0000 0.0000 (multiplicity 2)
4 Cd 0.0000 0.3321 0.7500 (multiplicity 6)



Entry 5:
Material: Pm6Sm8Cd
Method: DFT, PBE
State: relaxed

Output
* total magnetic moment: 0.00 μB/atom
* crystal system: trigonal
* total energy: -65.95 eV for the cell shown
* volume: 33.843 Å³/atom

Unit cell a=9.5229 b=9.5229 c=6.4638 alpha=90.00 beta=90.00 gamma=120.00
Space group P-3 (No. 147)
Asymmetric unit:
1 Pm 0.0927 0.6412 0.1791 (multiplicity 6)
2 Sm 0.0404 0.7752 0.6870 (multiplicity 6)
3 Sm 0.3333 0.6667 0.6597 (multiplicity 2)
4 Cd 0.0000 0.0000 0.0000 (multiplicity 1)



Entry 6:
Material: Pm3Sm2Cd
Method: DFT, PBE
State: relaxed

Output
* total magnetic moment: 0.00 μB/atom
* distance to the lowest polymorph of the same formula: 56 meV/atom
* crystal system: orthorhombic
* total energy: -99.36 eV for the cell shown
* volume: 31.578 Å³/atom

Unit cell a=10.676 b=6.192 c=11.464 alpha=90.00 beta=90.00 gamma=90.00
Space group Cmcm (No. 63)
Asymmetric unit:
1 Pm 0.000 0.000 0.000 (multiplicity 4)
2 Pm 0.159 0.500 0.000 (multiplicity 8)
3 Sm 0.169 0.169 0.250 (multiplicity 8)
4 Cd 0.000 0.329 0.750 (multiplicity 4)